# LaRu2Pt

A relaxed LaRu2Pt crystal (PBE-GGA, the Alexandria database).

Calculated values
- DOS(E_F) (states/eV/cell) = 5.67
- total moment (μB per cell) = 2.76
- electronic total energy (eV/cell) = -28.77
- energy above the lowest structure with this stoichiometry (eV per atom) = 0.3509
- energy of formation from the pure elements (eV per atom) = 0.1868

POSCAR file:
```
LaRu2Pt
1.0
0.000 3.313 3.313
3.313 0.000 3.313
3.313 3.313 0.000
Ru La Pt
2 1 1
Direct
0.250 0.250 0.250 Ru
0.750 0.750 0.750 Ru
0.000 0.000 0.000 La
0.500 0.500 0.500 Pt
```



# HoTl3Bi2S6

A relaxed HoTl3Bi2S6 crystal (PBE-GGA, the Alexandria database).

Calculated values
- total moment (μB per cell) = 0.00
- electronic total energy (eV/cell) = -53.51
- raw formation energy (eV per formula unit) = -9.31

POSCAR file:
```
HoTl3Bi2S6
1.0
7.118 -0.001 0.001
-3.558 6.165 0.001
-1.187 -2.054 7.461
Tl Ho S Bi
3 1 6 2
Direct
0.167 0.833 0.500 Tl
0.833 0.167 0.500 Tl
0.500 0.500 0.500 Tl
0.000 0.000 0.000 Ho
0.745 0.745 0.205 S
0.932 0.608 0.796 S
0.255 0.255 0.795 S
0.068 0.392 0.204 S
0.392 0.068 0.204 S
0.608 0.932 0.796 S
0.333 0.667 0.000 Bi
0.667 0.333 0.000 Bi
```



# K2CoTc

A relaxed K2CoTc crystal (PBE-GGA, the Alexandria database).

Calculated values
- DOS(E_F) (states/eV/cell) = 3.80
- total moment (μB per cell) = 2.55
- electronic total energy (eV/cell) = -14.09
- energy above the lowest structure with this stoichiometry (eV per atom) = 0.6257
- energy of formation from the pure elements (eV per atom) = 1.3952

POSCAR file:
```
K2CoTc
1.0
-0.069 1.592 -5.079
3.952 -4.938 1.018
-1.557 -2.016 -0.951
Co K Tc
1 2 1
Direct
0.500 0.500 0.000 Co
0.000 0.000 0.000 K
0.500 0.000 0.500 K
0.000 0.500 0.500 Tc
```



# NaTi4W2

A relaxed NaTi4W2 crystal (PBE-GGA, the Alexandria database).

Calculated values
- DOS(E_F) (states/eV/cell) = 11.43
- total moment (μB per cell) = 0.00
- electronic total energy (eV/cell) = -48.88
- energy of formation from the pure elements (eV per atom) = 1.4184

POSCAR file:
```
NaTi4W2
1.0
-2.326 2.030 3.505
-3.560 -2.952 -0.653
-0.328 -4.519 5.513
W Ti Na
2 4 1
Direct
0.607 0.607 0.786 W
0.393 0.393 0.214 W
0.500 0.000 0.000 Ti
0.798 0.798 0.404 Ti
0.000 0.500 0.000 Ti
0.202 0.202 0.596 Ti
0.000 0.000 0.000 Na
```



# BaReGe3

A relaxed BaReGe3 crystal (PBE-GGA, the Alexandria database).

Calculated values
- DOS(E_F) (states/eV/cell) = 18.12
- total moment (μB per cell) = 0.00
- electronic total energy (eV/cell) = -14.87
- energy above the lowest structure with this stoichiometry (eV per atom) = 2.6981
- energy of formation from the pure elements (eV per atom) = 2.6714

POSCAR file:
```
BaReGe3
1.0
-2.171 4.638 -1.817
-2.575 0.652 4.741
4.264 2.755 1.937
Ge Re Ba
3 1 1
Direct
0.500 0.000 0.000 Ge
0.000 0.500 0.000 Ge
0.000 0.000 0.500 Ge
0.500 0.500 0.500 Re
0.000 0.000 0.000 Ba
```



# Co2MoP

A relaxed Co2MoP crystal (PBE-GGA, the Alexandria database).

Calculated values
- DOS(E_F) (states/eV/cell) = 35.02
- total moment (μB per cell) = 0.00
- electronic total energy (eV/cell) = -256.55
- energy of formation from the pure elements (eV per atom) = -0.4041

POSCAR file:
```
Co2MoP
1.0
-1.490 -1.882 3.950
-2.140 -4.984 -3.181
11.498 -5.910 1.523
Co P Mo
16 8 8
Direct
0.544 0.054 0.714 Co
0.742 0.555 0.036 Co
0.044 0.554 0.786 Co
0.956 0.446 0.214 Co
0.544 0.446 0.714 Co
0.456 0.554 0.286 Co
0.456 0.946 0.286 Co
0.242 0.055 0.464 Co
0.758 0.555 0.536 Co
0.758 0.945 0.536 Co
0.258 0.055 0.964 Co
0.742 0.945 0.036 Co
0.956 0.054 0.214 Co
0.242 0.445 0.464 Co
0.044 0.946 0.786 Co
0.258 0.445 0.964 Co
0.537 0.250 0.568 P
0.753 0.750 0.684 P
0.463 0.750 0.432 P
0.253 0.250 0.816 P
0.247 0.250 0.316 P
0.037 0.750 0.932 P
0.963 0.250 0.068 P
0.747 0.750 0.184 P
0.736 0.250 0.890 Mo
0.764 0.250 0.390 Mo
0.264 0.750 0.110 Mo
0.453 0.250 0.138 Mo
0.236 0.750 0.610 Mo
0.047 0.250 0.638 Mo
0.547 0.750 0.862 Mo
0.953 0.750 0.362 Mo
```